First-principles (PBE-GGA) data for Ba2Sn3SbPt4 after structural relaxation, as listed in Alexandria via LeMat-Bulk.

abc: 4.830 4.830 10.670
angles: 90.00 90.00 90.00
Space group P-4m2 (No. 115)
Symmetry-distinct sites (fractional):
Ba 0.000 0.500 0.246 [2 per cell]
Sn 0.000 0.500 0.881 [2 per cell]
Sn 0.500 0.500 0.500 [1 per cell]
Sb 0.000 0.000 0.500 [1 per cell]
Pt 0.000 0.000 0.000 [1 per cell]
Pt 0.000 0.500 0.624 [2 per cell]
Pt 0.500 0.500 0.000 [1 per cell]

M_tot in μB/atom: 0.000
Uncorrected formation energy in eV per formula unit: -8.0
E_tot in eV per atom: -5.21